1.
Density functional theory data (PBE) for an optimized crystal structure of TiSn2Pd2.

Lattice parameters (Å, degrees): 3.986 3.986 6.887 73.18 73.18 90.00
Fractional positions:
Pd 0.250 0.750 0.500
Sn 0.391 0.391 0.218
Ti 0.000 0.000 0.000
Sn 0.609 0.609 0.782
Pd 0.750 0.250 0.500

Calculated values
**Polymorph energy (0 for the lowest one)**: 0.112 eV/atom
**DFT total energy**: -27.2 eV per cell
**Energy relative to the elements**: -174 meV/atom
**SG**: I4/mmm (139)
**Calculated density**: 8.3 g/cm3

***

2.
Density functional theory data (PBE) for an optimized crystal structure of Ti6SnPd5.

Lattice parameters (Å, degrees): 4.011 8.017 7.513 122.23 105.48 90.00
Site moments in Bohr magnetons follow the coordinates.
Fractional positions:
Ti 0.829 0.571 0.659  0.22
Ti 0.500 0.268 0.000  0.16
Ti 0.830 0.088 0.659  0.23
Pd 0.665 0.165 0.330  0.01
Ti 0.171 0.429 0.341  0.22
Ti 0.500 0.732 0.000  0.16
Pd 0.330 0.330 0.660  0.01
Ti 0.170 0.912 0.341  0.23
Sn 0.000 0.000 0.000  -0.01
Pd 0.670 0.670 0.340  0.01
Pd 0.335 0.835 0.670  0.01
Pd 0.000 0.500 0.000  0.01

Calculated values
**DFT total energy**: -83.2 eV per cell
**Energy relative to the elements**: -486 meV/atom
**SG**: Immm (71)
**Calculated density**: 8.0 g/cm3